## MgZnRh (GGA-PBE)

Data for an optimized crystal structure of MgZnRh. Values from VASP.

Geometry as Quantum ESPRESSO input:
```
&SYSTEM
  ibrav = 0, nat = 6, ntyp = 3
/
ATOMIC_SPECIES
Mg 24.30 Mg.upf
Zn 65.41 Zn.upf
Rh 102.91 Rh.upf
ATOMIC_POSITIONS angstrom
Mg 0.000 0.000 2.428
Mg 0.000 0.000 11.296
Zn 1.893 0.000 0.000
Zn 0.000 1.893 0.000
Rh 0.000 0.000 5.120
Rh 0.000 0.000 8.603
CELL_PARAMETERS angstrom
-1.893 1.893 6.862
1.893 -1.893 6.862
1.893 1.893 -6.862
```

Computed properties:
Uncorrected energy = -11.27 eV/f.u.
Magnetization = 0.00 μB/f.u.
D(E_F) = 0.516 states/eV per atom
Volume = 16.399 Å³ per atom

***

## MgZn2Rh2 (GGA-PBE)

Data for an optimized crystal structure of MgZn2Rh2. Values from VASP.

Geometry as Quantum ESPRESSO input:
```
&SYSTEM
  ibrav = 0, nat = 5, ntyp = 3
/
ATOMIC_SPECIES
Mg 24.30 Mg.upf
Zn 65.41 Zn.upf
Rh 102.91 Rh.upf
ATOMIC_POSITIONS angstrom
Mg 0.000 0.000 0.000
Zn 0.000 0.000 2.964
Zn 0.000 0.000 5.334
Rh 2.271 0.000 2.074
Rh 0.000 2.271 2.074
CELL_PARAMETERS angstrom
-2.271 2.271 4.149
2.271 -2.271 4.149
2.271 2.271 -4.149
```

Computed properties:
Offset from the most stable computed form = 6.537 kcal/mol of atoms
Uncorrected energy = -19.38 eV/f.u.
Magnetization = 0.00 μB/f.u.
D(E_F) = 0.260 states/eV per atom
Volume = 17.119 Å³ per atom

***

## Mg5Zn6Rh (GGA-PBE)

Data for an optimized crystal structure of Mg5Zn6Rh. Values from VASP.

Geometry as Quantum ESPRESSO input:
```
&SYSTEM
  ibrav = 0, nat = 12, ntyp = 3
/
ATOMIC_SPECIES
Mg 24.30 Mg.upf
Zn 65.41 Zn.upf
Rh 102.91 Rh.upf
ATOMIC_POSITIONS angstrom
Mg 0.000 0.000 0.000
Mg 1.496 3.009 4.547
Mg 2.529 1.517 0.000
Mg 2.529 -1.517 0.000
Mg 1.496 -3.009 4.547
Zn 0.789 1.388 2.342
Zn -0.145 0.000 6.743
Zn 0.789 -1.388 2.342
Zn 2.204 1.388 6.753
Zn 3.138 0.000 2.352
Zn 2.204 -1.388 6.753
Rh 1.496 0.000 4.547
CELL_PARAMETERS angstrom
2.529 -4.497 0.000
2.529 4.497 0.000
-2.065 0.000 9.095
```

Computed properties:
Uncorrected energy = -24.25 eV/f.u.
Magnetization = 0.00 μB/f.u.
D(E_F) = 0.367 states/eV per atom
Volume = 17.237 Å³ per atom

***

## MgZn2Rh (GGA-PBE)

Data for an optimized crystal structure of MgZn2Rh. Values from VASP.

Geometry as Quantum ESPRESSO input:
```
&SYSTEM
  ibrav = 0, nat = 4, ntyp = 3
/
ATOMIC_SPECIES
Mg 24.30 Mg.upf
Zn 65.41 Zn.upf
Rh 102.91 Rh.upf
ATOMIC_POSITIONS angstrom
Mg 0.000 0.000 0.000
Zn 1.505 1.829 1.519
Zn 1.505 1.829 4.037
Rh 0.000 0.000 2.778
CELL_PARAMETERS angstrom
3.011 0.000 0.000
0.000 3.657 0.000
0.000 0.000 5.556
```

Computed properties:
Uncorrected energy = -12.69 eV/f.u.
Magnetization = 0.00 μB/f.u.
D(E_F) = 0.358 states/eV per atom
Volume = 15.295 Å³ per atom

***

no.,formation enthalpy at 0 K (eV per atom)
1,-0.352
2,-0.108
3,-0.106
4,-0.299